*P*
## TcRu3Rh (GGA-PBE)

Data for a geometry-optimized TcRu3Rh structure.

abc: 4.584 4.584 4.584
angles: 90.00 90.00 90.00
Space group Pm-3m (No. 221)
One atom of each set of equivalent atoms:
Tc  0.000  0.000  0.000
Ru  0.000  0.000  0.500
Rh  0.500  0.500  0.500

Calculated values
Fermi-level density of states = 6.787 states/eV/cell


*Q*
## TcRu3Rh (GGA-PBE)

Data for a geometry-optimized TcRu3Rh structure.

abc: 6.984 4.740 9.276
angles: 90.00 113.93 90.00
Space group P2_1/c (No. 14)
One atom of each set of equivalent atoms:
Tc  0.149  0.165  0.100
Ru  0.048  0.668  0.199
Ru  0.349  0.165  0.897
Ru  0.448  0.668  0.800
Rh  0.250  0.665  0.999

Calculated values
Fermi-level density of states = 15.859 states/eV/cell


Verdict on stability: *Q* comes out on top.


*P*
## TeRuRh (GGA-PBE)

Data for a geometry-optimized TeRuRh structure.

abc: 6.030 6.030 6.030
angles: 90.00 90.00 90.00
Space group F-43m (No. 216)
One atom of each set of equivalent atoms:
Te  0.000  0.000  0.000
Ru  0.250  0.250  0.750
Rh  0.250  0.250  0.250

Calculated values
Fermi-level density of states = 4.310 states/eV/cell


*Q*
## TeRuRh (GGA-PBE)

Data for a geometry-optimized TeRuRh structure.

abc: 3.1289 3.1289 6.1030
angles: 90.00 90.00 120.00
Space group P3m1 (No. 156)
One atom of each set of equivalent atoms:
Te  0.0000  0.0000  0.0000
Ru  0.6667  0.3333  0.6794
Rh  0.3333  0.6667  0.3329

Calculated values
Fermi-level density of states = 3.748 states/eV/cell


*R*
## TeRuRh (GGA-PBE)

Data for a geometry-optimized TeRuRh structure.

abc: 3.164 3.974 8.087
angles: 90.00 90.00 90.00
Space group Imm2 (No. 44)
One atom of each set of equivalent atoms:
Te  0.000  0.000  0.000
Ru  0.000  0.000  0.329
Rh  0.000  0.000  0.675

Calculated values
Fermi-level density of states = 9.253 states/eV/cell


Verdict on stability: *P* comes out on top.


*P*
## TeRuRh (GGA-PBE)

Data for a geometry-optimized TeRuRh structure.

abc: 3.231 3.231 9.686
angles: 90.00 90.00 90.00
Space group I4mm (No. 107)
One atom of each set of equivalent atoms:
Te  0.000  0.000  0.000
Ru  0.000  0.000  0.653
Rh  0.000  0.000  0.338

Calculated values
Fermi-level density of states = 8.720 states/eV/cell


*Q*
## TeRuRh (GGA-PBE)

Data for a geometry-optimized TeRuRh structure.

abc: 4.2707 4.2707 3.2655
angles: 90.00 90.00 120.00
Space group P3m1 (No. 156)
One atom of each set of equivalent atoms:
Te  0.0000  0.0000  0.0000
Ru  0.3333  0.6667  0.7605
Rh  0.6667  0.3333  0.2857

Calculated values
Fermi-level density of states = 3.623 states/eV/cell


Verdict on stability: *Q* comes out on top.


*P*
## Te2RuRh (GGA-PBE)

Data for a geometry-optimized Te2RuRh structure.

abc: 8.729 3.332 6.252
angles: 90.00 98.51 90.00
Space group Cm (No. 8)
One atom of each set of equivalent atoms:
Te  0.000  0.000  0.000
Te  0.215  0.000  0.492
Ru  0.485  0.000  0.356
Rh  0.230  0.500  0.119

Calculated values
Fermi-level density of states = 6.075 states/eV/cell


*Q*
## Te2RuRh (GGA-PBE)

Data for a geometry-optimized Te2RuRh structure.

abc: 8.076 3.367 5.830
angles: 90.00 103.72 90.00
Space group C2/m (No. 12)
One atom of each set of equivalent atoms:
Te  0.247  0.000  0.246
Ru  0.000  0.500  0.000
Rh  0.000  0.000  0.500

Calculated values
Fermi-level density of states = 10.048 states/eV/cell


*R*
## Te2RuRh (GGA-PBE)

Data for a geometry-optimized Te2RuRh structure.

abc: 6.685 6.685 6.685
angles: 90.00 90.00 90.00
Space group Fm-3m (No. 225)
One atom of each set of equivalent atoms:
Te  0.250  0.250  0.250
Ru  0.000  0.000  0.000
Rh  0.000  0.000  0.500

Calculated values
Fermi-level density of states = 20.890 states/eV/cell


*S*
## Te2RuRh (GGA-PBE)

Data for a geometry-optimized Te2RuRh structure.

abc: 3.947 3.947 9.607
angles: 90.00 90.00 90.00
Space group I-4m2 (No. 119)
One atom of each set of equivalent atoms:
Te  0.000  0.000  0.000
Te  0.000  0.500  0.250
Ru  0.000  0.000  0.500
Rh  0.000  0.500  0.750

Calculated values
Fermi-level density of states = 4.990 states/eV/cell


Verdict on stability: *P* comes out on top.


*P*
## Te2RuRh (GGA-PBE)

Data for a geometry-optimized Te2RuRh structure.

abc: 3.6481 3.6481 24.0921
angles: 90.00 90.00 120.00
Space group R3m (No. 160, hexagonal axes)
One atom of each set of equivalent atoms:
Te  0.0000  0.0000  0.0000
Te  0.0000  0.0000  0.2044
Ru  0.0000  0.0000  0.7263
Rh  0.0000  0.0000  0.4807

Calculated values
Fermi-level density of states = 14.675 states/eV/cell


*Q*
## Te2RuRh (GGA-PBE)

Data for a geometry-optimized Te2RuRh structure.

abc: 3.157 4.440 12.730
angles: 90.00 90.00 90.00
Space group Imm2 (No. 44)
One atom of each set of equivalent atoms:
Te  0.000  0.000  0.000
Te  0.000  0.500  0.228
Ru  0.000  0.000  0.553
Rh  0.000  0.500  0.683

Calculated values
Fermi-level density of states = 5.997 states/eV/cell


*R*
## Te2RuRh (GGA-PBE)

Data for a geometry-optimized Te2RuRh structure.

abc: 6.780 6.780 6.780
angles: 90.00 90.00 90.00
Space group F-43m (No. 216)
One atom of each set of equivalent atoms:
Te  0.000  0.000  0.000
Te  0.250  0.250  0.250
Ru  0.000  0.000  0.500
Rh  0.250  0.250  0.750

Calculated values
Fermi-level density of states = 23.474 states/eV/cell


Verdict on stability: *Q* comes out on top.